Material: HfMnPb2Se5
Method: DFT, PBE
State: relaxed

Crystal system = orthorhombic
E_tot = -5.637 eV/atom
Space-group type = Cmc2_1

a b c (Å): 9.243 9.243 13.469
angles (deg): 90.00 90.00 155.02
Element x y z (fractional)
1 Hf 0.219 0.781 0.500
2 Hf 0.781 0.219 0.000
3 Mn 0.427 0.573 0.922
4 Mn 0.573 0.427 0.422
5 Pb 0.104 0.896 0.121
6 Pb 0.110 0.890 0.766
7 Pb 0.890 0.110 0.266
8 Pb 0.896 0.104 0.621
9 Se 0.068 0.932 0.536
10 Se 0.270 0.730 0.138
11 Se 0.295 0.705 0.866
12 Se 0.364 0.636 0.467
13 Se 0.492 0.508 0.760
14 Se 0.508 0.492 0.260
15 Se 0.636 0.364 0.967
16 Se 0.705 0.295 0.366
17 Se 0.730 0.270 0.638
18 Se 0.932 0.068 0.036



Material: KYPb
Method: DFT, PBE
State: relaxed

Energy relative to the elements = -21.1 kJ per mole of atoms
Crystal system = tetragonal
Offset from the most stable computed form = 0.21 eV per formula unit
Space-group type = I4/mmm

a b c (Å): 8.944 8.944 8.944
angles (deg): 143.84 143.84 52.06
Element x y z (fractional)
1 K 0.000 0.500 0.500
2 K 0.500 0.000 0.500
3 Y 0.250 0.750 0.500
4 Y 0.750 0.250 0.500
5 Pb 0.158 0.158 0.000
6 Pb 0.842 0.842 0.000